[1]
An optimized crystal structure of TbPm6Ho2Mg, computed with PBE.

Calculated values
Formation energy from the elements, kJ per mole of atoms: 11
DFT total energy, Ry per atom: -0.3138
Spin magnetization, μB/f.u.: 0.000

abc: 9.216 8.970 8.970
angles: 117.71 92.00 92.00
Atoms (fractional coordinates):
1 Pm 0.202 0.564 0.993
2 Pm 0.947 0.868 0.218
3 Pm 0.298 0.007 0.436
4 Pm 0.053 0.132 0.782
5 Pm 0.897 0.280 0.507
6 Pm 0.447 0.218 0.868
7 Pm 0.103 0.720 0.493
8 Pm 0.603 0.493 0.720
9 Pm 0.553 0.782 0.132
10 Pm 0.702 0.993 0.564
11 Pm 0.397 0.507 0.280
12 Pm 0.798 0.436 0.007
13 Ho 0.552 0.209 0.317
14 Ho 0.448 0.791 0.683
15 Ho 0.052 0.317 0.209
16 Ho 0.948 0.683 0.791
17 Mg 0.250 0.422 0.578
18 Mg 0.750 0.578 0.422
19 Tb 0.250 0.973 0.027
20 Tb 0.750 0.027 0.973

[2]
An optimized crystal structure of MgNb2TcMo, computed with PBE.

Calculated values
Formation energy from the elements, kJ per mole of atoms: 198
DFT total energy, Ry per atom: -0.4806
Spin magnetization, μB/f.u.: 0.000

abc: 4.672 4.451 4.672
angles: 90.00 90.00 90.00
Atoms (fractional coordinates):
1 Nb 0.000 0.000 0.500
2 Nb 0.500 0.000 0.000
3 Mg 0.000 0.000 0.000
4 Tc 0.500 0.500 0.500
5 Mo 0.000 0.500 0.000

[3]
An optimized crystal structure of RbScIr3, computed with PBE.

Calculated values
Formation energy from the elements, kJ per mole of atoms: 242
DFT total energy, Ry per atom: -0.3140
Spin magnetization, μB/f.u.: 0.001

abc: 4.813 4.813 4.813
angles: 90.00 90.00 90.00
Atoms (fractional coordinates):
1 Sc 0.500 0.500 0.500
2 Rb 0.000 0.000 0.000
3 Ir 0.000 0.000 0.500
4 Ir 0.000 0.500 0.000
5 Ir 0.500 0.000 0.000

In order of appearance, N(E_F) = 13.944; 7.591; 7.277 states/eV/f.u..